Entry from the Alexandria database: Sc5IrRu4 after structural relaxation (PBE).

Unit cell a=3.211 b=3.211 c=16.075 alpha=90.00 beta=90.00 gamma=90.00
Space group P4/mmm (No. 123)
Symmetry-distinct sites (fractional):
Sc  0.000  0.000  0.000 (multiplicity 1)
Sc  0.000  0.000  0.199 (multiplicity 2)
Sc  0.000  0.000  0.397 (multiplicity 2)
Ir  0.500  0.500  0.500 (multiplicity 1)
Ru  0.500  0.500  0.100 (multiplicity 2)
Ru  0.500  0.500  0.300 (multiplicity 2)

Summary:
D(E_F) in states/eV per cell: 9.002
Volume in Å³ per cell: 166
Uncorrected energy in eV/cell: -84.10